# 1
Material: Ba3BS
Method: DFT, SCAN
State: PBEsol geometry

POSCAR file:
```
Ba3BS
1.0
-5.593 -0.779 0.142
0.765 -5.576 -0.481
0.207 -0.457 5.627
S Ba B
1 3 1
direct
0.500 0.500 0.500
0.500 0.000 0.000
0.000 0.000 0.500
0.000 0.500 0.000
0.000 0.000 0.000
```

Results
Calculated total energy (eV/f.u.): -136.45
Distance to the lowest polymorph of the same formula (meV/atom): 0.0
Formation energy (no corrections) (kJ per mole of atoms): -14.4
Space group: Pm-3m, No. 221
Magnetic moment (μB/f.u.): 0.002
Calculated volume (A^3/atom): 36.06

# 2
Material: Ta2PtBr
Method: DFT, SCAN
State: PBEsol geometry

POSCAR file:
```
Ta2PtBr
1.0
-2.023 1.921 -0.839
-2.073 -0.258 4.408
2.811 3.626 1.534
Ta Pt Br
2 1 1
direct
0.625 0.500 0.274
0.124 0.000 0.985
0.125 0.500 0.759
0.625 0.000 0.481
```

Results
Calculated total energy (eV/f.u.): -222.08
Formation energy (no corrections) (kJ per mole of atoms): 17.7
Space group: Pmm2, No. 25
Magnetic moment (μB/f.u.): 0.000
Calculated volume (A^3/atom): 17.19

# 3
Material: CoSiO3
Method: DFT, SCAN
State: PBEsol geometry

POSCAR file:
```
CoSiO3
1.0
-2.081 -4.622 -0.751
1.273 -1.963 8.560
-16.572 6.809 4.026
Si O Co
16 48 16
direct
0.705 0.833 0.533
0.937 0.660 0.729
0.563 0.160 0.271
0.705 0.333 0.967
0.205 0.667 0.533
0.795 0.333 0.467
0.205 0.167 0.967
0.563 0.660 0.229
0.295 0.667 0.033
0.437 0.340 0.771
0.063 0.340 0.271
0.295 0.167 0.467
0.937 0.160 0.771
0.063 0.840 0.229
0.437 0.840 0.729
0.795 0.833 0.033
0.184 0.016 0.430
0.603 0.191 0.442
0.897 0.191 0.942
0.833 0.233 0.303
0.054 0.835 0.318
0.937 0.492 0.694
0.397 0.809 0.558
0.684 0.484 0.430
0.446 0.835 0.818
0.167 0.767 0.697
0.054 0.335 0.182
0.063 0.508 0.306
0.554 0.165 0.182
0.937 0.992 0.806
0.706 0.327 0.057
0.667 0.733 0.697
0.333 0.767 0.197
0.946 0.665 0.818
0.103 0.309 0.442
0.794 0.827 0.943
0.563 0.492 0.194
0.816 0.484 0.930
0.554 0.665 0.318
0.446 0.335 0.682
0.294 0.673 0.943
0.437 0.008 0.694
0.397 0.309 0.942
0.437 0.508 0.806
0.103 0.809 0.058
0.706 0.827 0.443
0.184 0.516 0.070
0.946 0.165 0.682
0.294 0.173 0.557
0.897 0.691 0.558
0.603 0.691 0.058
0.794 0.327 0.557
0.667 0.233 0.803
0.206 0.673 0.443
0.563 0.992 0.306
0.316 0.016 0.930
0.684 0.984 0.070
0.063 0.008 0.194
0.167 0.267 0.803
0.206 0.173 0.057
0.833 0.733 0.197
0.316 0.516 0.570
0.333 0.267 0.303
0.816 0.984 0.570
0.153 0.513 0.879
0.609 0.649 0.877
0.153 0.013 0.621
0.609 0.149 0.623
0.391 0.351 0.123
0.347 0.513 0.379
0.891 0.149 0.123
0.847 0.487 0.121
0.109 0.851 0.877
0.847 0.987 0.379
0.891 0.649 0.377
0.109 0.351 0.623
0.653 0.987 0.879
0.347 0.013 0.121
0.653 0.487 0.621
0.391 0.851 0.377
```

Results
Calculated total energy (eV/f.u.): -57.32
Formation energy (no corrections) (kJ per mole of atoms): -218.2
Space group: Pbca, No. 61
Magnetic moment (μB/f.u.): 3.000
Calculated volume (A^3/atom): 10.44

# 4
Material: La2MgPb
Method: DFT, SCAN
State: PBEsol geometry

POSCAR file:
```
La2MgPb
1.0
-3.482 -1.371 -2.569
3.027 -3.450 -2.263
-1.269 -3.449 3.561
La Mg Pb
2 1 1
direct
0.000 0.000 0.500
0.000 0.500 0.000
0.500 0.500 0.500
0.500 0.000 0.000
```

Results
Calculated total energy (eV/f.u.): -169.15
Space group: P4/mmm, No. 123
Magnetic moment (μB/f.u.): 0.000
Calculated volume (A^3/atom): 29.71

# 5
Material: ScTl2Ag
Method: DFT, SCAN
State: PBEsol geometry

POSCAR file:
```
ScTl2Ag
1.0
3.400 0.000 0.000
0.000 3.400 0.000
0.000 0.000 7.376
Ag Sc Tl
1 1 2
direct
0.500 0.500 0.000
0.500 0.500 0.500
0.000 0.000 0.759
0.000 0.000 0.241
```

Results
Calculated total energy (eV/f.u.): -190.80
Space group: P4/mmm, No. 123
Magnetic moment (μB/f.u.): 0.418
Calculated volume (A^3/atom): 21.32

# 6
Material: YFeW2O8
Method: DFT, SCAN
State: PBEsol geometry

POSCAR file:
```
YFeW2O8
1.0
5.046 -0.037 -0.007
0.088 5.659 -0.039
0.742 -0.080 9.826
O W Fe Y
16 4 2 2
direct
0.559 0.887 0.093
0.587 0.367 0.138
0.045 0.093 0.115
0.541 0.929 0.620
0.441 0.113 0.907
0.113 0.616 0.120
0.903 0.365 0.357
0.943 0.883 0.407
0.097 0.635 0.643
0.057 0.117 0.593
0.955 0.907 0.885
0.628 0.409 0.616
0.887 0.384 0.880
0.459 0.071 0.380
0.413 0.633 0.862
0.372 0.591 0.384
0.245 0.826 0.993
0.747 0.176 0.490
0.755 0.174 0.007
0.253 0.824 0.510
0.741 0.679 0.739
0.259 0.321 0.261
0.263 0.307 0.747
0.737 0.693 0.253
```

Results
Calculated total energy (eV/f.u.): -264.60
Distance to the lowest polymorph of the same formula (meV/atom): 0.0
Formation energy (no corrections) (kJ per mole of atoms): -236.4
Space group: P-1, No. 2
Magnetic moment (μB/f.u.): 2.999
Calculated volume (A^3/atom): 11.69

# 7
Material: LiMgHg
Method: DFT, SCAN
State: PBEsol geometry

POSCAR file:
```
LiMgHg
1.0
-1.863 -1.944 -2.212
2.368 -2.546 0.243
-2.552 0.442 4.506
Mg Li Hg
1 1 1
direct
0.667 0.667 0.333
0.342 0.342 0.684
0.991 0.991 0.982
```

Results
Calculated total energy (eV/f.u.): -76.72
Distance to the lowest polymorph of the same formula (meV/atom): 0.0
Space group: I4mm, No. 107
Magnetic moment (μB/f.u.): 0.000
Calculated volume (A^3/atom): 18.53

# 8
Material: AlCr2Co
Method: DFT, SCAN
State: PBEsol geometry

POSCAR file:
```
AlCr2Co
1.0
-0.755 2.077 -1.235
-0.629 -1.418 -2.000
-6.612 -0.820 2.662
Co Cr Al
1 2 1
direct
0.500 0.500 0.758
0.000 0.000 0.977
0.500 0.500 0.247
0.000 0.000 0.519
```

Results
Calculated total energy (eV/f.u.): -61.69
Space group: P4mm, No. 99
Magnetic moment (μB/f.u.): 0.001
Calculated volume (A^3/atom): 11.50

| no. | mass density (g/cm3) |
| --- | --- |
| 1 | 4.190 |
| 2 | 15.384 |
| 3 | 4.296 |
| 4 | 7.116 |
| 5 | 10.938 |
| 6 | 7.578 |
| 7 | 6.926 |
| 8 | 6.858 |